Ce2GeOs | PBE-GGA | relaxed

Results
- magnetization (μB/f.u.) = 0.0
- calculated formation energy (meV per atom) = 245
- crystal system = trigonal
- excess energy over the best structure of this formula in the dataset (meV per atom) = 734
- symmetry = R-3m

Cell lengths 3.0483, 3.0483, 10.9475 Å; angles 82.00, 82.00, 60.00 degrees
Element x y z (fractional)
Ge  0.0000  0.0000  0.0000
Os  0.5000  0.5000  0.5000
Ce  0.0947  0.0947  0.7160
Ce  0.9053  0.9053  0.2840